Computed, not measured: crystalline MnInBi2O6 at its relaxed geometry at the PBE with a Hubbard U level of DFT.

a = 5.8471 Å, b = 5.9142 Å, c = 5.7948 Å
α = 61.26°, β = 61.19°, γ = 57.08°
Element x y z (fractional)
O 0.1301 0.4672 0.7633
O 0.1509 0.9697 0.2721
O 0.6488 0.1036 0.7869
O 0.9986 0.6046 0.2338
O 0.5822 0.1722 0.2566
O 0.4788 0.6653 0.7486
Bi 0.5210 0.5356 0.4107
Bi 0.0302 0.0201 0.9169
In 0.8039 0.8112 0.5724
Mn 0.3173 0.3122 0.0539

**DFT total energy**: -61.371 eV for the cell shown
**Volume**: 141 Å³/f.u.